# 1
Here is a relaxed structure of LiAcZn2Pd from Alexandria. Energies are from GGA-PBE.

a b c (Å): 4.227 4.285 11.592
angles (deg): 90.00 90.00 90.00
Space group Imm2 (No. 44)
Unique sites:
Li1 0.000 0.000 0.000
Ac1 0.000 0.500 0.261
Zn1 0.000 0.000 0.508
Zn2 0.000 0.500 0.637
Pd1 0.000 0.500 0.864

Calculated values
- Final energy: -3.20 eV per atom
- Energy of formation from the pure elements: -0.447 eV/atom

# 2
Here is a relaxed structure of ZnSnRuO6 from Alexandria. Energies are from GGA-PBE.

a b c (Å): 4.680 4.680 9.586
angles (deg): 90.00 90.00 90.00
Space group P4_2nm (No. 102)
Unique sites:
Zn1 0.000 0.000 0.000
Sn1 0.000 0.000 0.335
Ru1 0.000 0.000 0.666
O1 0.191 0.191 0.826
O2 0.192 0.192 0.512
O3 0.215 0.215 0.170

Calculated values
- Final energy: -6.03 eV per atom
- ΔE_f (raw): -1.11 eV/atom

# 3
Here is a relaxed structure of AsPtBr from Alexandria. Energies are from GGA-PBE.

a b c (Å): 3.517 3.517 11.522
angles (deg): 90.00 90.00 90.00
Space group I4mm (No. 107)
Unique sites:
As1 0.000 0.000 0.000
Pt1 0.000 0.000 0.550
Br1 0.000 0.000 0.786

Calculated values
- Final energy: -4.20 eV per atom
- ΔE_f (raw): -0.08 eV/atom
- Distance to the lowest polymorph of the same formula: 0.2065 eV per atom